[1]
A relaxed structure of Sm2OF2, computed with GGA-PBE.

Calculated values
offset from the most stable computed form: 0 meV per atom
final energy: -6.83 eV per atom

Cell lengths 5.2023, 5.2493, 6.8231 Å; angles 112.62, 112.41, 90.00 degrees
With the nearest neighbours (Å) after each atom.
Element x y z (fractional)
O: 0.7500 0.0000 0.0000  4 Sm 2.24
O: 0.2500 0.0000 0.0000  4 Sm 2.24
Sm: 0.6070 0.8511 0.2141  2 O 2.24, 2 F 2.36-2.48
Sm: 0.3930 0.1489 0.7859  2 O 2.24, 2 F 2.36-2.48
Sm: 0.8930 0.6370 0.7859  2 O 2.24, 2 F 2.36-2.48
Sm: 0.1070 0.3630 0.2141  2 O 2.24, 2 F 2.36-2.48
F: 0.1892 0.8819 0.3784  2 Sm 2.36-2.48
F: 0.6892 0.4965 0.3784  2 Sm 2.36-2.48
F: 0.8108 0.1181 0.6216  2 Sm 2.36-2.48
F: 0.3108 0.5035 0.6216  2 Sm 2.36-2.48

[2]
A relaxed structure of Dy3Mg3TlCd2, computed with GGA-PBE.

Calculated values
final energy: -2.76 eV per atom

Cell lengths 7.5845, 7.5845, 4.5604 Å; angles 90.00, 90.00, 120.00 degrees
With the nearest neighbours (Å) after each atom.
Element x y z (fractional)
Mg: 0.7534 0.7534 0.5000  2 Cd 2.91, 2 Tl 2.95, 2 Mg 3.24
Mg: 0.0000 0.2466 0.5000  2 Cd 2.91, 2 Tl 2.95, 2 Mg 3.24
Mg: 0.2466 0.0000 0.5000  2 Cd 2.91, 2 Tl 2.95, 2 Mg 3.24
Dy: 0.0000 0.5799 0.0000  1 Tl 3.19, 4 Cd 3.22, 2 Mg 3.40
Dy: 0.5799 0.0000 0.0000  1 Tl 3.19, 4 Cd 3.22, 2 Mg 3.40
Dy: 0.4201 0.4201 0.0000  1 Tl 3.19, 4 Cd 3.22, 2 Mg 3.40
Cd: 0.6667 0.3333 0.5000  3 Mg 2.91, 6 Dy 3.22
Cd: 0.3333 0.6667 0.5000  3 Mg 2.91, 6 Dy 3.22
Tl: 0.0000 0.0000 0.0000  6 Mg 2.95, 3 Dy 3.19

Which formula does entry 2 have?
Dy3Mg3TlCd2

Among the records above, which one has the lowest final energy?
Sm2OF2

The lowest final energy belongs to which entry?
Sm2OF2

Which formula does entry 2 have?
Dy3Mg3TlCd2